SiSbOs: relaxed, PBE.

Cell: 13.687 3.042 6.111 Å, 90.00 115.44 90.00°
Space group C2/m (No. 12)
Asymmetric unit:
1 Si 0.058 0.000 0.372 [4 per cell]
2 Sb 0.184 0.000 0.143 [4 per cell]
3 Os 0.096 0.500 0.724 [4 per cell]

Output
DFT total energy ... -6.9434 eV/atom
Formation energy from raw total energies ... -0.0184 eV per atom
Polymorph energy (0 for the lowest one) ... 0.07 eV per formula unit